Record 1
The following is a DFT calculation (PBE) of a relaxed structure of Pm6PrNd2Tm.

Cell: 9.837 8.962 8.962 Å, 117.82 94.14 94.14°
Sites, in units of the cell vectors:
Nd: 0.456 0.801 0.700
Pm: 0.881 0.294 0.507
Pr: 0.750 0.020 0.980
Pm: 0.619 0.493 0.706
Pr: 0.250 0.980 0.020
Pm: 0.055 0.122 0.748
Pm: 0.688 0.014 0.570
Nd: 0.956 0.700 0.801
Pm: 0.381 0.507 0.294
Pm: 0.445 0.252 0.878
Pm: 0.812 0.430 0.986
Nd: 0.544 0.199 0.300
Pm: 0.312 0.986 0.430
Nd: 0.044 0.300 0.199
Tm: 0.750 0.591 0.409
Tm: 0.250 0.409 0.591
Pm: 0.119 0.706 0.493
Pm: 0.188 0.570 0.014
Pm: 0.555 0.748 0.122
Pm: 0.945 0.878 0.252

## Properties
E_form   112 meV per atom

Record 2
The following is a DFT calculation (PBE) of a relaxed structure of PmPrNd3Tm.

Cell: 5.981 6.506 11.938 Å, 90.00 90.00 117.36°
Sites, in units of the cell vectors:
Tm: 0.151 0.301 0.250
Nd: 0.326 0.651 0.022
Pr: 0.000 0.000 0.500
Nd: 0.326 0.651 0.478
Tm: 0.849 0.699 0.750
Pm: 0.479 0.958 0.750
Pm: 0.521 0.042 0.250
Pr: 0.000 0.000 0.000
Nd: 0.828 0.655 0.250
Nd: 0.674 0.349 0.522
Nd: 0.172 0.345 0.750
Nd: 0.674 0.349 0.978

## Properties
E_form   104 meV per atom

Record 3
The following is a DFT calculation (PBE) of a relaxed structure of Pm2Pr4NdTm2.

Cell: 5.162 8.167 8.133 Å, 107.50 90.00 108.42°
Sites, in units of the cell vectors:
Pm: 0.888 0.776 0.331
Pr: 0.446 0.891 0.670
Nd: 0.000 0.000 0.000
Pr: 0.223 0.445 0.329
Pr: 0.554 0.109 0.330
Tm: 0.668 0.337 0.999
Pm: 0.112 0.224 0.669
Tm: 0.332 0.663 0.001
Pr: 0.777 0.555 0.671

## Properties
E_form   21 meV per atom

Record 4
The following is a DFT calculation (PBE) of a relaxed structure of Pm6Pr2NdTm.

Cell: 9.886 8.959 8.959 Å, 117.88 94.34 94.34°
Sites, in units of the cell vectors:
Pm: 0.556 0.746 0.122
Pm: 0.056 0.122 0.746
Pm: 0.881 0.295 0.506
Pm: 0.381 0.506 0.295
Nd: 0.750 0.018 0.982
Tm: 0.250 0.408 0.592
Pm: 0.444 0.254 0.878
Pr: 0.957 0.703 0.803
Pm: 0.689 0.015 0.572
Pr: 0.543 0.197 0.297
Pm: 0.811 0.428 0.985
Pm: 0.311 0.985 0.428
Pm: 0.119 0.705 0.494
Pr: 0.457 0.803 0.703
Pm: 0.619 0.494 0.705
Pm: 0.189 0.572 0.015
Tm: 0.750 0.592 0.408
Nd: 0.250 0.982 0.018
Pr: 0.043 0.297 0.197
Pm: 0.944 0.878 0.254

## Properties
E_form   113 meV per atom

Record 5
The following is a DFT calculation (PBE) of a relaxed structure of Pm2Pr2NdTm2.

Cell: 3.531 8.921 8.943 Å, 119.29 90.00 101.42°
Sites, in units of the cell vectors:
Tm: 0.570 0.141 0.224
Pr: 0.651 0.302 0.946
Pr: 0.349 0.698 0.054
Tm: 0.430 0.859 0.776
Pm: 0.726 0.452 0.647
Nd: 0.000 0.000 0.500
Pm: 0.274 0.548 0.353

## Properties
E_form   119 meV per atom

Record 6
The following is a DFT calculation (PBE) of a relaxed structure of Pm6PrNd2Y.

Cell: 9.906 8.991 8.991 Å, 118.18 94.28 94.28°
Sites, in units of the cell vectors:
Pm: 0.055 0.120 0.747
Pm: 0.445 0.253 0.880
Pm: 0.686 0.018 0.570
Pm: 0.814 0.430 0.982
Y: 0.250 0.408 0.592
Nd: 0.543 0.197 0.298
Pm: 0.186 0.570 0.018
Pr: 0.750 0.020 0.980
Nd: 0.457 0.803 0.702
Pm: 0.120 0.706 0.494
Nd: 0.957 0.702 0.803
Pm: 0.555 0.747 0.120
Pm: 0.380 0.506 0.294
Pm: 0.620 0.494 0.706
Pm: 0.945 0.880 0.253
Pr: 0.250 0.980 0.020
Nd: 0.043 0.298 0.197
Pm: 0.880 0.294 0.506
Y: 0.750 0.592 0.408
Pm: 0.314 0.982 0.430

## Properties
E_form   109 meV per atom

Record 7
The following is a DFT calculation (PBE) of a relaxed structure of PmPr6Nd2Y.

Cell: 9.992 9.065 9.065 Å, 118.14 94.48 94.48°
Sites, in units of the cell vectors:
Pr: 0.313 0.985 0.429
Y: 0.750 0.592 0.408
Nd: 0.957 0.706 0.804
Pm: 0.250 0.980 0.020
Pr: 0.880 0.295 0.504
Pr: 0.120 0.705 0.496
Pr: 0.187 0.571 0.015
Nd: 0.543 0.196 0.294
Pr: 0.813 0.429 0.985
Pm: 0.750 0.020 0.980
Pr: 0.380 0.504 0.295
Pr: 0.554 0.751 0.118
Pr: 0.946 0.882 0.249
Y: 0.250 0.408 0.592
Pr: 0.620 0.496 0.705
Nd: 0.457 0.804 0.706
Nd: 0.043 0.294 0.196
Pr: 0.687 0.015 0.571
Pr: 0.054 0.118 0.751
Pr: 0.446 0.249 0.882

## Properties
E_form   107 meV per atom

Record 8
The following is a DFT calculation (PBE) of a relaxed structure of Pm6Pr3NdY2.

Cell: 6.338 6.338 12.135 Å, 95.01 95.01 120.00°
Sites, in units of the cell vectors:
Pr: 0.833 0.167 0.500
Pm: 0.584 0.917 0.753
Y: 0.333 0.667 0.000
Nd: 0.000 0.000 0.000
Pm: 0.083 0.416 0.247
Y: 0.667 0.333 0.000
Pm: 0.416 0.083 0.247
Pm: 0.917 0.584 0.753
Pr: 0.167 0.833 0.500
Pm: 0.749 0.749 0.247
Pr: 0.500 0.500 0.500
Pm: 0.251 0.251 0.753

## Properties
E_form   14 meV per atom

Record 9
The following is a DFT calculation (PBE) of a relaxed structure of Pm2PrNd2Y.

Cell: 3.452 6.814 18.039 Å, 90.00 90.00 90.00°
Sites, in units of the cell vectors:
Nd: 0.500 0.262 0.319
Nd: 0.500 0.738 0.681
Pr: 0.000 0.000 0.500
Y: 0.500 0.500 0.500
Pm: 0.000 0.267 0.150
Nd: 0.000 0.238 0.819
Y: 0.000 0.000 0.000
Nd: 0.000 0.762 0.181
Pm: 0.500 0.233 0.650
Pr: 0.500 0.500 0.000
Pm: 0.000 0.733 0.850
Pm: 0.500 0.767 0.350

## Properties
E_form   242 meV per atom

Record 10
The following is a DFT calculation (PBE) of a relaxed structure of Pm6Pr2NdY3.

Cell: 6.323 6.323 12.063 Å, 95.01 95.01 120.01°
Sites, in units of the cell vectors:
Pm: 0.582 0.915 0.746
Pm: 0.418 0.085 0.254
Pm: 0.085 0.418 0.254
Y: 0.500 0.500 0.500
Nd: 0.000 0.000 0.000
Y: 0.167 0.833 0.500
Y: 0.833 0.167 0.500
Pm: 0.915 0.582 0.746
Pr: 0.333 0.667 0.000
Pr: 0.667 0.333 0.000
Pm: 0.752 0.752 0.254
Pm: 0.248 0.248 0.746

## Properties
E_form   14 meV per atom

Record 11
The following is a DFT calculation (PBE) of a relaxed structure of PmPr2NdY2.

Cell: 3.443 6.707 18.354 Å, 90.00 90.00 90.00°
Sites, in units of the cell vectors:
Pr: 0.000 0.776 0.185
Pr: 0.500 0.276 0.315
Pm: 0.500 0.500 0.500
Y: 0.500 0.222 0.648
Pr: 0.500 0.724 0.685
Pr: 0.000 0.224 0.815
Nd: 0.000 0.000 0.500
Nd: 0.500 0.500 0.000
Y: 0.000 0.722 0.852
Y: 0.500 0.778 0.352
Y: 0.000 0.278 0.148
Pm: 0.000 0.000 0.000

## Properties
E_form   263 meV per atom

Record 12
The following is a DFT calculation (PBE) of a relaxed structure of PmPr2Nd2Y4.

Cell: 3.672 9.686 9.762 Å, 115.25 90.00 100.93°
Sites, in units of the cell vectors:
Pr: 0.147 0.295 0.664
Pm: 0.000 0.000 0.000
Y: 0.520 0.039 0.332
Y: 0.185 0.370 0.335
Y: 0.815 0.630 0.665
Pr: 0.853 0.705 0.336
Nd: 0.334 0.668 0.998
Y: 0.480 0.961 0.668
Nd: 0.666 0.332 0.002

## Properties
E_form   0 meV per atom